# 1
Below is a geometry-optimized TlCu2SbAs structure, with properties calculated at the PBE level.

## Properties
- Symmetry: P4/mmm (123)
- Calculated total energy: -3.343 eV/atom
- ΔE_f (raw): 523.3 meV/atom

Cell: 4.8633 4.8633 5.6196 Å, 90.00 90.00 90.00°
Last column: nearest neighbours and their distance in Å.
Fractional positions:
Tl1 0.0000 0.0000 0.0000  4 As 3.44, 8 Cu 3.72
Cu1 0.0000 0.5000 0.5000  2 Sb 2.43
Cu2 0.5000 0.0000 0.5000  2 Sb 2.43
Sb1 0.5000 0.5000 0.5000  4 Cu 2.43
As1 0.5000 0.5000 0.0000  2 Sb 2.81

***

# 2
Below is a geometry-optimized ScCuAs structure, with properties calculated at the PBE level.

## Properties
- Symmetry: Imm2 (44)
- Calculated total energy: -5.381 eV/atom
- Formation enthalpy at 0 K: -0.36 eV per atom

Cell: 5.1668 5.1668 5.1668 Å, 144.84 139.13 54.99°
Last column: nearest neighbours and their distance in Å.
Fractional positions:
Sc1 0.0000 0.0000 0.0000  5 Cu 2.88-2.97, 5 As 2.91-2.92, 2 Sc 3.12
Cu1 0.3245 0.3245 0.0000  4 As 2.72, 5 Sc 2.88-2.97
As1 0.6816 0.6816 0.0000  4 Cu 2.72, 5 Sc 2.91-2.92

***

# 3
Below is a geometry-optimized ScCuAs2 structure, with properties calculated at the PBE level.

## Properties
- Symmetry: Pm (6)
- Calculated total energy: -5.401 eV/atom
- Formation enthalpy at 0 K: -0.47 eV per atom

Cell: 3.6383 3.9072 5.4128 Å, 90.00 109.42 90.00°
Last column: nearest neighbours and their distance in Å.
Fractional positions:
Sc1 0.0000 0.0000 0.0000  6 As 2.68-2.84
Cu1 0.8399 0.5000 0.5554  5 As 2.47-2.70
As1 0.3280 0.0000 0.5542  4 Cu 2.64-2.70, 2 Sc 2.81-2.84
As2 0.5297 0.5000 0.0739  1 Cu 2.47, 4 Sc 2.68-2.71

***

# 4
Below is a geometry-optimized Sc2CuAs structure, with properties calculated at the PBE level.

## Properties
- Symmetry: Cmm2 (35)
- Calculated total energy: -5.635 eV/atom
- Formation enthalpy at 0 K: -0.28 eV per atom

Cell: 3.3346 3.3346 7.1593 Å, 90.00 90.00 99.81°
Last column: nearest neighbours and their distance in Å.
Fractional positions:
Sc1 0.0000 0.0000 0.0000  2 Cu 2.69, 1 As 2.96
Sc2 0.5000 0.5000 0.3478  4 As 2.75-3.07, 1 Cu 3.05
Cu1 0.5000 0.5000 0.7734  2 As 2.53, 2 Sc 2.69
As1 0.0000 0.0000 0.5866  2 Cu 2.53, 2 Sc 2.75

***

# 5
Below is a geometry-optimized ScCu2As2 structure, with properties calculated at the PBE level.

## Properties
- Symmetry: P4/mbm (127)
- Calculated total energy: -5.017 eV/atom
- Formation enthalpy at 0 K: -0.25 eV per atom

Cell: 7.1465 7.1465 3.1810 Å, 90.00 90.00 90.00°
Last column: nearest neighbours and their distance in Å.
Fractional positions:
Sc1 0.0000 0.0000 0.0000  4 Cu 2.86, 8 As 3.06, 2 Sc 3.18
Sc2 0.5000 0.5000 0.0000  4 Cu 2.86, 8 As 3.06, 2 Sc 3.18
Cu1 0.1176 0.3824 0.0000  1 Cu 2.38, 2 As 2.55
Cu2 0.3824 0.8824 0.0000  1 Cu 2.38, 2 As 2.55
Cu3 0.6176 0.1176 0.0000  1 Cu 2.38, 2 As 2.55
Cu4 0.8824 0.6176 0.0000  1 Cu 2.38, 2 As 2.55
As1 0.1857 0.6857 0.5000  6 Cu 2.55-2.73
As2 0.3143 0.1857 0.5000  6 Cu 2.55-2.73
As3 0.6857 0.8143 0.5000  6 Cu 2.55-2.73
As4 0.8143 0.3143 0.5000  6 Cu 2.55-2.73

***

# 6
Below is a geometry-optimized ScCuAs2 structure, with properties calculated at the PBE level.

## Properties
- Symmetry: F-43m (216)
- Calculated total energy: -5.054 eV/atom
- Formation enthalpy at 0 K: -0.12 eV per atom

Cell: 4.6460 4.6460 4.6460 Å, 60.00 60.00 60.00°
Last column: nearest neighbours and their distance in Å.
Fractional positions:
Sc1 0.0000 0.0000 0.0000  4 As 2.85, 4 Cu 2.85
Cu1 0.2500 0.2500 0.2500  4 As 2.85, 4 Sc 2.85
As1 0.5000 0.5000 0.5000  4 As 2.85, 4 Cu 2.85
As2 0.7500 0.7500 0.7500  4 As 2.85, 4 Sc 2.85

***

# 7
Below is a geometry-optimized ScCuAs2 structure, with properties calculated at the PBE level.

## Properties
- Symmetry: I-4m2 (119)
- Calculated total energy: -5.384 eV/atom
- Formation enthalpy at 0 K: -0.45 eV per atom

Cell: 5.4673 5.4673 5.4673 Å, 139.30 139.30 58.91°
Last column: nearest neighbours and their distance in Å.
Fractional positions:
Sc1 0.0000 0.0000 0.0000  4 As 2.69
Cu1 0.7500 0.2500 0.5000  4 As 2.69
As1 0.2500 0.7500 0.5000  4 Cu 2.69
As2 0.5000 0.5000 0.0000  4 Sc 2.69

***

# 8
Below is a geometry-optimized ScCuAs2 structure, with properties calculated at the PBE level.

## Properties
- Symmetry: R-3m (166)
- Calculated total energy: -5.314 eV/atom
- Formation enthalpy at 0 K: -0.38 eV per atom

Cell: 6.0706 6.0706 6.0706 Å, 37.57 37.57 37.57°
Last column: nearest neighbours and their distance in Å.
Fractional positions:
Sc1 0.0000 0.0000 0.0000  6 As 2.73
Cu1 0.5000 0.5000 0.5000  6 As 2.59
As1 0.2423 0.2423 0.2423  3 Cu 2.59, 3 Sc 2.73
As2 0.7577 0.7577 0.7577  3 Cu 2.59, 3 Sc 2.73

***

# 9
Below is a geometry-optimized Sc2CuAs structure, with properties calculated at the PBE level.

## Properties
- Symmetry: Cmmm (65)
- Calculated total energy: -5.992 eV/atom
- Formation enthalpy at 0 K: -0.64 eV per atom

Cell: 4.5159 4.5159 3.5297 Å, 90.00 90.00 90.13°
Last column: nearest neighbours and their distance in Å.
Fractional positions:
Sc1 0.0000 0.5000 0.0000  4 As 2.87, 4 Cu 2.87, 4 Sc 3.19-3.20
Sc2 0.5000 0.0000 0.0000  4 As 2.87, 4 Cu 2.87, 4 Sc 3.19-3.20
Cu1 0.0000 0.0000 0.5000  8 Sc 2.87, 4 As 3.19-3.20
As1 0.5000 0.5000 0.5000  8 Sc 2.87, 4 Cu 3.19-3.20

***

# 10
Below is a geometry-optimized Sc2CuAs structure, with properties calculated at the PBE level.

## Properties
- Symmetry: Imm2 (44)
- Calculated total energy: -5.954 eV/atom
- Formation enthalpy at 0 K: -0.60 eV per atom

Cell: 5.6390 5.6390 5.6390 Å, 142.58 137.48 57.91°
Last column: nearest neighbours and their distance in Å.
Fractional positions:
Sc1 0.0000 0.0000 0.0000  4 Cu 2.74, 2 As 3.00
Sc2 0.7350 0.2350 0.5000  4 As 2.76, 2 Sc 3.09
Cu1 0.4715 0.4715 0.0000  2 As 2.63, 4 Sc 2.74
As1 0.2776 0.7776 0.5000  2 Cu 2.63, 4 Sc 2.76

***

# 11
Below is a geometry-optimized ScCu4As structure, with properties calculated at the PBE level.

## Properties
- Symmetry: F-43m (216)
- Calculated total energy: -4.721 eV/atom
- Formation enthalpy at 0 K: -0.16 eV per atom

Cell: 4.9903 4.9903 4.9903 Å, 60.00 60.00 60.00°
Last column: nearest neighbours and their distance in Å.
Fractional positions:
Sc1 0.0000 0.0000 0.0000  12 Cu 2.93, 4 As 3.06
Cu1 0.3749 0.3749 0.3749  6 Cu 2.49-2.50
Cu2 0.3749 0.3749 0.8752  6 Cu 2.49-2.50
Cu3 0.3749 0.8752 0.3749  6 Cu 2.49-2.50
Cu4 0.8752 0.3749 0.3749  6 Cu 2.49-2.50
As1 0.7500 0.7500 0.7500  12 Cu 2.93, 4 Sc 3.06

***

# 12
Below is a geometry-optimized ScCuAs structure, with properties calculated at the PBE level.

## Properties
- Symmetry: P3m1 (156)
- Calculated total energy: -5.760 eV/atom
- Formation enthalpy at 0 K: -0.73 eV per atom

Cell: 4.0018 4.0018 3.7097 Å, 90.00 90.00 120.00°
Last column: nearest neighbours and their distance in Å.
Fractional positions:
Sc1 0.0000 0.0000 0.0000  6 Cu 2.94-2.98, 6 As 2.95-2.97
Cu1 0.3333 0.6667 0.5080  3 As 2.31
As1 0.6667 0.3333 0.4957  3 Cu 2.31

***

> The lowest calculated total energy belongs to which entry?

number 9

***

Repeat the twelfth record exactly.
Below is a geometry-optimized ScCuAs structure, with properties calculated at the PBE level.

## Properties
- Symmetry: P3m1 (156)
- Calculated total energy: -5.760 eV/atom
- Formation enthalpy at 0 K: -0.73 eV per atom

Cell: 4.0018 4.0018 3.7097 Å, 90.00 90.00 120.00°
Last column: nearest neighbours and their distance in Å.
Fractional positions:
Sc1 0.0000 0.0000 0.0000  6 Cu 2.94-2.98, 6 As 2.95-2.97
Cu1 0.3333 0.6667 0.5080  3 As 2.31
As1 0.6667 0.3333 0.4957  3 Cu 2.31